(1)
{
  "formula": "LiZn2Re",
  "functional": "PBE",
  "state": "relaxed",
  "cell": [[-4.506, -1.643, -0.583], [-1.158, -3.721, 2.857], [1.987, 4.349, 0.692]],
  "species": ["Li", "Re", "Zn", "Zn"],
  "frac_coords": [[0.500, 0.500, 0.000], [0.750, 0.250, 0.500], [0.000, 0.000, 0.000], [0.250, 0.750, 0.500]],
  "dft_energy_ev_per_cell": -15.7,
  "polymorph_energy_kj_per_mol_atoms": 31.0,
  "formation_enthalpy_0k_ev_per_atom": 0.3106,
  "spacegroup": "No. 119"
}

---

(2)
{
  "formula": "TlInAuF2",
  "functional": "PBE",
  "state": "relaxed",
  "cell": [[4.438, 0.000, 0.000], [0.000, 4.438, 0.000], [0.000, 0.000, 5.575]],
  "species": ["Tl", "F", "F", "Au", "In"],
  "frac_coords": [[0.500, 0.500, 0.500], [0.000, 0.500, 0.000], [0.500, 0.000, 0.000], [0.000, 0.000, 0.500], [0.000, 0.000, 0.000]],
  "dft_energy_ev_per_cell": -18.5,
  "formation_energy_uncorrected_mev_per_atom": -1281.1,
  "spacegroup": "No. 123"
}

---

(3)
{
  "formula": "DyThBi2",
  "functional": "PBE",
  "state": "relaxed",
  "cell": [[-4.657, -2.942, -0.576], [0.258, -5.335, -1.464], [-1.256, -3.945, 3.679]],
  "species": ["Bi", "Bi", "Th", "Dy"],
  "frac_coords": [[0.250, 0.250, 0.250], [0.750, 0.750, 0.750], [0.000, 0.000, 0.000], [0.500, 0.500, 0.500]],
  "dft_energy_ev_per_cell": -22.0,
  "polymorph_energy_kj_per_mol_atoms": 16.1,
  "formation_enthalpy_0k_ev_per_atom": -0.5435,
  "spacegroup": "No. 225"
}

---

(4)
{
  "formula": "Ti6VRh3",
  "functional": "PBE",
  "state": "relaxed",
  "cell": [[6.419, 0.000, 0.000], [3.209, 5.559, 0.000], [3.209, 1.853, 5.241]],
  "species": ["Ti", "Ti", "Ti", "Ti", "Ti", "Ti", "V", "Rh", "Rh", "Rh"],
  "frac_coords": [[0.756, 0.756, 0.244], [0.244, 0.756, 0.756], [0.244, 0.756, 0.244], [0.756, 0.244, 0.244], [0.756, 0.244, 0.756], [0.244, 0.244, 0.756], [0.000, 0.000, 0.000], [0.750, 0.750, 0.750], [0.250, 0.250, 0.250], [0.500, 0.500, 0.500]],
  "dft_energy_ev_per_cell": -72.9,
  "formation_enthalpy_0k_ev_per_atom": 0.5664,
  "spacegroup": "No. 225"
}

---

(5)
{
  "formula": "AlCr2Fe",
  "functional": "PBE",
  "state": "relaxed",
  "cell": [[-0.917, -2.829, 2.808], [2.608, -2.605, -1.773], [2.202, 1.017, 1.744]],
  "species": ["Cr", "Cr", "Fe", "Al"],
  "frac_coords": [[0.000, 0.000, 0.000], [0.500, 0.500, 0.000], [0.500, 0.000, 0.500], [0.000, 0.500, 0.500]],
  "dft_energy_ev_per_cell": -31.0,
  "polymorph_energy_kj_per_mol_atoms": 24.8,
  "formation_enthalpy_0k_ev_per_atom": 0.1159,
  "spacegroup": "No. 123"
}

---

(6)
{
  "formula": "Li8Zn3Cd3",
  "functional": "PBE",
  "state": "relaxed",
  "cell": [[0.011, -0.564, -4.408], [-4.764, -8.804, 1.115], [-2.407, 7.230, 1.308]],
  "species": ["Li", "Li", "Li", "Li", "Li", "Li", "Li", "Li", "Zn", "Zn", "Zn", "Cd", "Cd", "Cd"],
  "frac_coords": [[0.366, 0.086, 0.732], [0.634, 0.914, 0.268], [0.366, 0.646, 0.732], [0.634, 0.354, 0.268], [0.127, 0.756, 0.253], [0.873, 0.244, 0.747], [0.127, 0.497, 0.253], [0.873, 0.503, 0.747], [0.500, 0.000, 0.000], [0.000, 0.857, 0.000], [0.000, 0.143, 0.000], [0.500, 0.500, 0.000], [0.224, 0.224, 0.449], [0.776, 0.776, 0.551]],
  "dft_energy_ev_per_cell": -23.7,
  "formation_enthalpy_0k_ev_per_atom": -0.1281,
  "spacegroup": "No. 71"
}

---

(7)
{
  "formula": "Cd2HgAs",
  "functional": "PBE",
  "state": "relaxed",
  "cell": [[-3.015, -3.588, 3.387], [-3.907, -4.224, 0.577], [4.016, -3.743, -0.427]],
  "species": ["As", "Hg", "Cd", "Cd"],
  "frac_coords": [[0.258, 0.258, 0.126], [0.491, 0.491, 0.624], [0.999, 0.999, 0.124], [0.751, 0.751, 0.627]],
  "dft_energy_ev_per_cell": -6.4,
  "polymorph_energy_kj_per_mol_atoms": 8.3,
  "formation_enthalpy_0k_ev_per_atom": 0.1002,
  "spacegroup": "No. 8"
}

---

(8)
{
  "formula": "TbNd5Ho",
  "functional": "PBE",
  "state": "relaxed",
  "cell": [[-4.387, -3.428, 2.751], [4.031, -7.065, 4.635], [-0.689, 4.111, 8.063]],
  "species": ["Tb", "Tb", "Nd", "Nd", "Nd", "Nd", "Nd", "Nd", "Nd", "Nd", "Nd", "Nd", "Ho", "Ho"],
  "frac_coords": [[0.000, 0.000, 0.000], [0.000, 0.000, 0.500], [0.387, 0.629, 0.854], [0.460, 0.304, 0.536], [0.017, 0.371, 0.354], [0.859, 0.283, 0.750], [0.236, 0.304, 0.964], [0.764, 0.696, 0.036], [0.141, 0.717, 0.250], [0.983, 0.629, 0.646], [0.540, 0.696, 0.464], [0.613, 0.371, 0.146], [0.511, 0.978, 0.750], [0.489, 0.022, 0.250]],
  "dft_energy_ev_per_cell": -63.7,
  "polymorph_energy_kj_per_mol_atoms": 0.0,
  "formation_enthalpy_0k_ev_per_atom": 0.1720,
  "spacegroup": "No. 15"
}

---

(9)
{
  "formula": "Pu2Co5Ge3",
  "functional": "PBE",
  "state": "relaxed",
  "cell": [[5.559, 0.000, 0.000], [2.780, 7.428, -0.567], [2.780, 0.586, 7.427]],
  "species": ["Pu", "Pu", "Pu", "Pu", "Co", "Co", "Co", "Co", "Co", "Co", "Co", "Co", "Co", "Co", "Ge", "Ge", "Ge", "Ge", "Ge", "Ge"],
  "frac_coords": [[0.124, 0.620, 0.133], [0.624, 0.133, 0.620], [0.876, 0.380, 0.867], [0.376, 0.867, 0.380], [0.383, 0.273, 0.962], [0.883, 0.962, 0.273], [0.617, 0.727, 0.038], [0.117, 0.038, 0.727], [0.482, 0.768, 0.768], [0.518, 0.232, 0.232], [0.750, 0.500, 0.500], [0.250, 0.500, 0.500], [0.018, 0.232, 0.232], [0.982, 0.768, 0.768], [0.368, 0.514, 0.750], [0.868, 0.750, 0.514], [0.632, 0.486, 0.250], [0.132, 0.250, 0.486], [0.250, 0.000, 0.000], [0.750, 0.000, 0.000]],
  "dft_energy_ev_per_cell": -161.4,
  "polymorph_energy_kj_per_mol_atoms": 0.0,
  "formation_enthalpy_0k_ev_per_atom": -0.2679,
  "spacegroup": "No. 72"
}

---

(10)
{
  "formula": "Na2Tl3Se4",
  "functional": "PBE",
  "state": "relaxed",
  "cell": [[4.814, 0.000, 0.000], [-2.407, 6.650, -0.584], [0.000, -0.515, 9.056]],
  "species": ["Na", "Na", "Tl", "Tl", "Tl", "Se", "Se", "Se", "Se"],
  "frac_coords": [[0.753, 0.506, 0.128], [0.247, 0.494, 0.872], [0.617, 0.234, 0.443], [0.000, 0.000, 0.000], [0.383, 0.766, 0.557], [0.379, 0.757, 0.158], [0.789, 0.578, 0.712], [0.211, 0.422, 0.288], [0.621, 0.243, 0.842]],
  "dft_energy_ev_per_cell": -27.8,
  "formation_energy_uncorrected_mev_per_atom": -453.1,
  "spacegroup": "No. 12"
}

---

(11)
{
  "formula": "Rb2Li2NpS4",
  "functional": "PBE",
  "state": "relaxed",
  "cell": [[-1.161, -1.995, 3.423], [6.320, -4.394, -0.417], [2.039, 7.104, 2.342]],
  "species": ["Rb", "Rb", "Li", "Li", "Np", "S", "S", "S", "S"],
  "frac_coords": [[0.138, 0.563, 0.277], [0.862, 0.437, 0.723], [0.681, 0.988, 0.363], [0.319, 0.012, 0.637], [0.000, 0.000, 0.000], [0.191, 0.157, 0.383], [0.809, 0.843, 0.617], [0.517, 0.781, 0.034], [0.483, 0.219, 0.966]],
  "dft_energy_ev_per_cell": -47.2,
  "formation_energy_uncorrected_mev_per_atom": -1334.7,
  "spacegroup": "No. 12"
}

---

(12)
{
  "formula": "Sb2TePtPb",
  "functional": "PBE",
  "state": "relaxed",
  "cell": [[-2.253, -5.096, 1.267], [4.131, -2.572, -2.996], [3.203, -0.262, 4.642]],
  "species": ["Pb", "Sb", "Sb", "Te", "Pt"],
  "frac_coords": [[0.000, 0.000, 0.000], [0.000, 0.500, 0.000], [0.500, 0.000, 0.000], [0.000, 0.000, 0.500], [0.500, 0.500, 0.500]],
  "dft_energy_ev_per_cell": -14.2,
  "formation_energy_uncorrected_mev_per_atom": 1395.3,
  "polymorph_energy_kj_per_mol_atoms": 115.1,
  "spacegroup": "No. 123"
}

---

(13)
{
  "formula": "CaAcCu2Pd2",
  "functional": "PBE",
  "state": "relaxed",
  "cell": [[4.433, 0.000, 0.000], [-2.216, 3.839, 0.000], [0.000, 0.000, 7.758]],
  "species": ["Ca", "Ac", "Cu", "Cu", "Pd", "Pd"],
  "frac_coords": [[0.000, 0.000, 0.500], [0.000, 0.000, 0.000], [0.667, 0.333, 0.728], [0.333, 0.667, 0.272], [0.667, 0.333, 0.257], [0.333, 0.667, 0.743]],
  "dft_energy_ev_per_cell": -27.6,
  "formation_enthalpy_0k_ev_per_atom": -0.4887,
  "spacegroup": "No. 164"
}

---

(14)
{
  "formula": "Ni4Pd3Pt",
  "functional": "PBE",
  "state": "relaxed",
  "cell": [[-4.633, 3.209, -0.682], [3.039, -2.483, -4.101], [0.296, -5.376, 1.798]],
  "species": ["Ni", "Ni", "Ni", "Ni", "Pd", "Pd", "Pd", "Pt"],
  "frac_coords": [[0.093, 0.741, 0.834], [0.093, 0.259, 0.352], [0.079, 0.255, 0.824], [0.569, 0.745, 0.824], [0.591, 0.243, 0.834], [0.280, 0.000, 0.280], [0.591, 0.757, 0.348], [0.856, 0.500, 0.356]],
  "dft_energy_ev_per_cell": -42.9,
  "polymorph_energy_kj_per_mol_atoms": 21.7,
  "formation_enthalpy_0k_ev_per_atom": 0.2279,
  "spacegroup": "No. 44"
}

---

(15)
{
  "formula": "NaPuSnTe3",
  "functional": "PBE",
  "state": "relaxed",
  "cell": [[-2.729, 3.277, -1.225], [-3.753, -0.041, 8.253], [7.723, 7.107, 1.805]],
  "species": ["Na", "Na", "Pu", "Pu", "Sn", "Sn", "Te", "Te", "Te", "Te", "Te", "Te"],
  "frac_coords": [[0.750, 0.841, 0.844], [0.250, 0.159, 0.156], [0.250, 0.645, 0.153], [0.750, 0.355, 0.847], [0.250, 0.136, 0.551], [0.750, 0.864, 0.449], [0.250, 0.647, 0.445], [0.750, 0.899, 0.176], [0.750, 0.405, 0.142], [0.750, 0.353, 0.555], [0.250, 0.595, 0.858], [0.250, 0.101, 0.824]],
  "dft_energy_ev_per_cell": -66.9,
  "formation_energy_uncorrected_mev_per_atom": -727.4,
  "spacegroup": "No. 11"
}

---

(16)
{
  "formula": "ScAsRu2",
  "functional": "PBE",
  "state": "relaxed",
  "cell": [[4.258, 0.000, 0.000], [0.000, 2.962, -0.020], [0.000, 0.425, 5.032]],
  "species": ["As", "Ru", "Ru", "Sc"],
  "frac_coords": [[0.500, 0.750, 0.750], [0.000, 0.936, 0.986], [0.000, 0.564, 0.514], [0.500, 0.250, 0.250]],
  "dft_energy_ev_per_cell": -30.4,
  "formation_enthalpy_0k_ev_per_atom": -0.2251,
  "spacegroup": "No. 10"
}

---

(17)
{
  "formula": "KHg3P",
  "functional": "PBE",
  "state": "relaxed",
  "cell": [[-2.994, -0.322, 4.537], [2.664, -5.500, -0.796], [8.904, 4.817, 3.119]],
  "species": ["P", "P", "K", "K", "Hg", "Hg", "Hg", "Hg", "Hg", "Hg"],
  "frac_coords": [[0.990, 0.692, 0.241], [0.686, 0.287, 0.582], [0.325, 0.397, 0.115], [0.966, 0.898, 0.648], [0.338, 0.996, 0.409], [0.421, 0.509, 0.762], [0.640, 0.093, 0.894], [0.674, 0.002, 0.191], [0.860, 0.450, 0.405], [0.037, 0.791, 0.970]],
  "dft_energy_ev_per_cell": -15.9,
  "polymorph_energy_kj_per_mol_atoms": 3.3,
  "formation_enthalpy_0k_ev_per_atom": -0.1081,
  "spacegroup": "No. 1"
}

---

(18)
{
  "formula": "KNa2TbI6",
  "functional": "PBE",
  "state": "relaxed",
  "cell": [[-5.760, 5.100, -2.779], [-7.891, -2.110, 0.430], [-5.025, 4.149, 5.977]],
  "species": ["K", "Na", "Na", "Tb", "I", "I", "I", "I", "I", "I"],
  "frac_coords": [[0.814, 0.814, 0.559], [0.516, 0.516, 0.452], [0.004, 0.004, 0.988], [0.327, 0.327, 0.018], [0.575, 0.245, 0.238], [0.245, 0.942, 0.238], [0.942, 0.575, 0.238], [0.377, 0.722, 0.762], [0.723, 0.138, 0.762], [0.139, 0.377, 0.762]],
  "dft_energy_ev_per_cell": -31.2,
  "formation_energy_uncorrected_mev_per_atom": -1349.8,
  "spacegroup": "No. 146"
}

---

(19)
{
  "formula": "Nd2ErTe2As2",
  "functional": "PBE",
  "state": "relaxed",
  "cell": [[5.292, 0.000, 0.000], [0.000, 5.292, 0.000], [-2.646, -2.646, 7.888]],
  "species": ["Nd", "Nd", "Er", "Te", "Te", "As", "As"],
  "frac_coords": [[0.386, 0.386, 0.773], [0.614, 0.614, 0.227], [0.000, 0.000, 0.000], [0.191, 0.191, 0.382], [0.809, 0.809, 0.618], [0.000, 0.500, 0.000], [0.500, 0.000, 0.000]],
  "dft_energy_ev_per_cell": -36.9,
  "formation_energy_uncorrected_mev_per_atom": -1036.0,
  "spacegroup": "No. 139"
}

---

(20)
{
  "formula": "SbAs2Pb",
  "functional": "PBE",
  "state": "relaxed",
  "cell": [[-1.699, -4.609, 3.962], [-2.059, -0.136, -5.616], [1.715, -2.386, -1.136]],
  "species": ["Pb", "Sb", "As", "As"],
  "frac_coords": [[0.000, 0.500, 0.500], [0.500, 0.500, 0.000], [0.000, 0.000, 0.000], [0.500, 0.000, 0.500]],
  "dft_energy_ev_per_cell": -15.8,
  "formation_energy_uncorrected_mev_per_atom": 330.4,
  "polymorph_energy_kj_per_mol_atoms": 28.6,
  "spacegroup": "No. 12"
}